Compound: PPt
Source: the Alexandria database
Functional: PBE-GGA
Structure: relaxed

Lattice parameters (Å, degrees): 3.0471 3.0471 7.5907 90.00 90.00 90.00
Closest atoms and distances in Å follow each position.
Space group P4/nmm (No. 129, origin choice 2)
Asymmetric unit:
P1 0.2500 0.2500 0.2007 x2  4 Pt 2.45
Pt1 0.2500 0.2500 0.6459 x2  4 P 2.45

Properties
Magnetic moment (μB/atom): 0.00
Energy of formation (meV/atom): -58